Computed, not measured: a geometry-optimized Mg2HRu structure at the PBE level of DFT.

Summary:
- size of the total moment (μB/cell) = 0.0
- E above lowest polymorph (meV/atom) = 0.0
- Fermi-level density of states (states/eV/atom) = 0.64

Lattice parameters (Å, degrees): 6.360 6.360 6.360 93.94 93.94 149.61
Fractional positions:
Mg 0.375 0.205 0.330
Mg 0.795 0.125 0.170
Mg 0.875 0.045 0.670
Mg 0.955 0.625 0.830
H 0.000 0.000 0.000
H 0.750 0.250 0.500
Ru 0.250 0.750 0.500
Ru 0.500 0.500 0.000

=====

Computed, not measured: a geometry-optimized Th3Al2Ni6 structure at the PBE level of DFT.

Summary:
- uncorrected energy (eV for the cell shown) = -140.15
- size of the total moment (μB/cell) = 0.0
- Fermi-level density of states (states/eV/atom) = 0.88

Lattice parameters (Å, degrees): 7.874 7.874 7.874 109.47 109.47 109.47
Fractional positions:
Th 0.000 0.288 0.288
Th 0.000 0.712 0.712
Th 0.288 0.000 0.288
Th 0.288 0.288 0.000
Th 0.712 0.000 0.712
Th 0.712 0.712 0.000
Al 0.000 0.000 0.500
Al 0.000 0.500 0.000
Al 0.500 0.000 0.000
Al 0.500 0.500 0.500
Ni 0.000 0.336 0.664
Ni 0.000 0.664 0.336
Ni 0.328 0.664 0.664
Ni 0.336 0.000 0.664
Ni 0.336 0.336 0.672
Ni 0.336 0.664 0.000
Ni 0.336 0.672 0.336
Ni 0.664 0.000 0.336
Ni 0.664 0.328 0.664
Ni 0.664 0.336 0.000
Ni 0.664 0.664 0.328
Ni 0.672 0.336 0.336

=====

Computed, not measured: a geometry-optimized NaNiSn3 structure at the PBE level of DFT.

Summary:
- size of the total moment (μB/cell) = 0.0
- E above lowest polymorph (meV/atom) = 157.5
- Fermi-level density of states (states/eV/atom) = 0.60

Lattice parameters (Å, degrees): 5.072 5.072 5.072 90.00 90.00 90.00
Fractional positions:
Na 0.000 0.000 0.000
Ni 0.500 0.500 0.500
Sn 0.000 0.500 0.500
Sn 0.500 0.000 0.500
Sn 0.500 0.500 0.000

=====

Computed, not measured: a geometry-optimized LiHIr2 structure at the PBE level of DFT.

Summary:
- size of the total moment (μB/cell) = 0.0
- E above lowest polymorph (meV/atom) = 0.0
- Fermi-level density of states (states/eV/atom) = 0.80

Lattice parameters (Å, degrees): 5.393 5.393 5.393 119.58 119.58 90.73
Fractional positions:
Li 0.000 0.000 0.000
Li 0.750 0.250 0.500
H 0.250 0.750 0.500
H 0.500 0.500 0.000
Ir 0.316 0.625 0.191
Ir 0.375 0.566 0.691
Ir 0.434 0.125 0.809
Ir 0.875 0.684 0.309